## LiZn2Ni2 (GGA-PBE)

Data for a relaxed LiZn2Ni2 crystal.

Calculated values
**Density of states at the Fermi level**: 12.20 states/eV/cell
**Electronic total energy**: -3.374 eV per atom
**Total moment**: 0.000 μB/atom
**Offset from the most stable computed form**: 33 meV per atom

Cell: 8.7743 4.4905 6.7429 Å, 90.00 112.93 90.00°
With the nearest neighbours (Å) after each atom.
Space group C2/c (No. 15)
Inequivalent atoms, fractional coordinates:
Li1 0.0000 0.1741 0.2500 (multiplicity 4)  6 Zn 2.54-2.63, 6 Ni 2.54-2.67
Zn1 0.1898 0.1676 0.6495 (multiplicity 8)  6 Ni 2.53-2.61, 3 Li 2.54-2.63, 3 Zn 2.62-2.72
Ni1 0.1060 0.3418 0.9532 (multiplicity 8)  3 Ni 2.49-2.65, 6 Zn 2.53-2.61, 3 Li 2.54-2.67

=====

## Li2IrRh2 (GGA-PBE)

Data for a relaxed Li2IrRh2 crystal.

Calculated values
**Density of states at the Fermi level**: 17.20 states/eV/cell
**Electronic total energy**: -5.440 eV per atom
**Total moment**: 0.000 μB/atom
**Offset from the most stable computed form**: 0 meV per atom

Cell: 6.6860 6.6860 2.7837 Å, 90.00 90.00 90.00°
With the nearest neighbours (Å) after each atom.
Space group P4/mbm (No. 127)
Inequivalent atoms, fractional coordinates:
Li1 0.1123 0.3877 0.0000 (multiplicity 4)  1 Li 2.12, 2 Rh 2.33
Ir1 0.0000 0.0000 0.0000 (multiplicity 2)  4 Li 2.70, 2 Ir 2.78, 8 Rh 2.80
Rh1 0.1906 0.6906 0.5000 (multiplicity 4)  6 Li 2.33-2.51

=====

## Er2Th2Sc7 (GGA-PBE)

Data for a relaxed Er2Th2Sc7 crystal.

Calculated values
**Density of states at the Fermi level**: 40.97 states/eV/cell
**Electronic total energy**: -6.045 eV per atom
**Total moment**: 0.000 μB/atom
**Offset from the most stable computed form**: 20 meV per atom

Cell: 10.5588 10.7372 5.8225 Å, 90.00 113.65 90.00°
With the nearest neighbours (Å) after each atom.
Space group C2/m (No. 12)
Inequivalent atoms, fractional coordinates:
Er1 0.0000 0.2056 0.0000 (multiplicity 4)  6 Sc 3.14-3.28
Th1 0.1016 0.5000 0.3205 (multiplicity 4)  7 Sc 3.25-3.50, 2 Th 3.48-3.55, 2 Er 3.61
Sc1 0.0000 0.0000 0.5000 (multiplicity 2)  6 Sc 3.07-3.29
Sc2 0.1713 0.2389 0.6707 (multiplicity 8)  5 Sc 3.07-3.36, 2 Er 3.14-3.28, 1 Th 3.37
Sc3 0.2430 0.0000 0.0717 (multiplicity 4)  5 Sc 3.14-3.34, 3 Th 3.25-3.47, 2 Er 3.28

=====

What formation enthalpy at 0 K values result from the calculations? In sequence: -0.1692 0.0385 0.1629 eV per atom.